(1)
Np2Si2Tc2C after structural relaxation, computed with PBE.

## Properties
- raw formation energy (kJ per mole of atoms) = -25.45
- total magnetization (μB/atom) = 1.063
- crystal system = monoclinic
- space group = C2/m (12)

Unit cell a=4.001 b=5.853 c=5.891 alpha=71.65 beta=70.15 gamma=70.01
Site moments in Bohr magnetons follow the coordinates.
Element x y z (fractional)
Np1 0.570 0.151 0.709  3.60
Np2 0.430 0.849 0.291  3.60
Si1 0.140 0.399 0.321  -0.02
Si2 0.860 0.601 0.679  -0.02
Tc1 0.208 0.680 0.905  -0.13
Tc2 0.792 0.320 0.095  -0.13
C1 0.000 0.000 0.000  -0.02

***

(2)
SmNpC2 after structural relaxation, computed with PBE.

## Properties
- total magnetization (μB/atom) = 0.418
- crystal system = trigonal
- space group = R-3m (166)
- ΔH_f (0 K) (eV per atom) = 0.02

Unit cell a=3.596 b=3.596 c=6.139 alpha=72.97 beta=72.97 gamma=60.00
Site moments in Bohr magnetons follow the coordinates.
Element x y z (fractional)
Np1 0.000 0.000 0.000  1.79
C1 0.733 0.733 0.800  -0.11
C2 0.267 0.267 0.200  -0.11
Sm1 0.500 0.500 0.500  0.07

***

(3)
Sm2NpC after structural relaxation, computed with PBE.

## Properties
- total magnetization (μB/atom) = 1.231
- crystal system = trigonal
- space group = R-3m (166)
- ΔH_f (0 K) (eV per atom) = 0.37

Unit cell a=3.509 b=3.509 c=10.076 alpha=79.97 beta=79.97 gamma=60.00
Site moments in Bohr magnetons follow the coordinates.
Element x y z (fractional)
Np1 0.000 0.000 0.000  4.36
C1 0.500 0.500 0.500  0.00
Sm1 0.119 0.119 0.644  0.01
Sm2 0.881 0.881 0.356  0.01

***

(4)
Sm2NpTc2C4 after structural relaxation, computed with PBE.

## Properties
- total magnetization (μB/atom) = 0.277
- crystal system = monoclinic
- space group = C2/m (12)
- ΔH_f (0 K) (eV per atom) = 0.06

Unit cell a=3.439 b=6.873 c=6.157 alpha=107.51 beta=90.00 gamma=104.49
Site moments in Bohr magnetons follow the coordinates.
Element x y z (fractional)
Sm1 0.866 0.732 0.465  -0.02
Sm2 0.134 0.268 0.535  -0.02
Np1 0.000 0.000 0.000  2.60
Tc1 0.322 0.644 0.999  0.03
Tc2 0.678 0.356 0.001  0.03
C1 0.772 0.545 0.778  -0.01
C2 0.228 0.455 0.222  -0.01
C3 0.468 0.936 0.241  -0.06
C4 0.532 0.064 0.759  -0.06

***

(5)
NpSnC after structural relaxation, computed with PBE.

## Properties
- total magnetization (μB/atom) = 0.362
- crystal system = tetragonal
- space group = I4/mmm (139)
- ΔH_f (0 K) (eV per atom) = 0.56

Unit cell a=4.187 b=4.187 c=6.945 alpha=107.54 beta=107.54 gamma=90.00
Site moments in Bohr magnetons follow the coordinates.
Element x y z (fractional)
Np1 0.093 0.093 0.186  1.10
Np2 0.907 0.907 0.814  1.10
C1 0.000 0.500 0.000  -0.05
C2 0.500 0.000 0.000  -0.05
Sn1 0.656 0.656 0.313  0.04
Sn2 0.344 0.344 0.687  0.04

***

(6)
NpTaC after structural relaxation, computed with PBE.

## Properties
- total magnetization (μB/atom) = 1.310
- crystal system = tetragonal
- space group = I4mm (107)
- ΔH_f (0 K) (eV per atom) = 0.32

Unit cell a=3.054 b=3.054 c=5.752 alpha=105.40 beta=105.40 gamma=90.00
Site moments in Bohr magnetons follow the coordinates.
Element x y z (fractional)
Np1 0.010 0.010 0.020  3.92
C1 0.264 0.264 0.529  -0.01
Ta1 0.726 0.726 0.451  -0.15